Entry 1:
DFT (PBE) results for an optimized crystal structure of Ba2GaSe3.

Values from the calculation:
- symmetry = Immm, No. 71
- formation energy without anion corrections (eV per atom) = -1.413

Unit cell a=4.4762 b=5.0747 c=17.4984 alpha=90.00 beta=90.00 gamma=90.00
Closest atoms and distances in Å follow each position.
Atoms (fractional coordinates):
Ba (0.0000, 0.0000, 0.1509)  7 Se 3.28-3.46
Ba (0.0000, 0.0000, 0.8491)  7 Se 3.28-3.46
Ba (0.5000, 0.5000, 0.3491)  7 Se 3.28-3.46
Ba (0.5000, 0.5000, 0.6509)  7 Se 3.28-3.46
Ga (0.0000, 0.0000, 0.5000)  4 Se 2.54-2.82
Ga (0.5000, 0.5000, 0.0000)  4 Se 2.54-2.82
Se (0.0000, 0.0000, 0.3386)  1 Ga 2.82
Se (0.0000, 0.0000, 0.6614)  1 Ga 2.82
Se (0.0000, 0.5000, 0.5000)  2 Ga 2.54
Se (0.5000, 0.0000, 0.0000)  2 Ga 2.54
Se (0.5000, 0.5000, 0.1614)  1 Ga 2.82
Se (0.5000, 0.5000, 0.8386)  1 Ga 2.82

Entry 2:
DFT (PBE) results for an optimized crystal structure of Ba5GaSe6.

Values from the calculation:
- symmetry = C2/m, No. 12
- formation energy without anion corrections (eV per atom) = -1.659

Unit cell a=8.0450 b=8.0450 c=8.0340 alpha=99.59 beta=99.59 gamma=120.02
Closest atoms and distances in Å follow each position.
Atoms (fractional coordinates):
Ba (0.0000, 0.0000, 0.0000)  6 Se 3.27-3.44
Ba (0.1668, 0.8332, 0.5000)  6 Se 3.30
Ba (0.3334, 0.6666, 0.0000)  6 Se 3.27-3.43
Ba (0.6666, 0.3334, 0.0000)  6 Se 3.27-3.43
Ba (0.8332, 0.1668, 0.5000)  6 Se 3.30
Ga (0.5000, 0.5000, 0.5000)  6 Se 3.12-3.14
Se (0.1018, 0.4193, 0.2588)  1 Ga 3.14, 5 Ba 3.27-3.43
Se (0.2639, 0.2639, 0.7399)  1 Ga 3.12, 5 Ba 3.27-3.44
Se (0.4193, 0.1018, 0.2588)  1 Ga 3.14, 5 Ba 3.27-3.43
Se (0.5807, 0.8982, 0.7412)  1 Ga 3.14, 5 Ba 3.27-3.43
Se (0.7361, 0.7361, 0.2601)  1 Ga 3.12, 5 Ba 3.27-3.44
Se (0.8982, 0.5807, 0.7412)  1 Ga 3.14, 5 Ba 3.27-3.43

Q: Which formula does entry 1 have?
A: Ba2GaSe3

Q: Among the records above, which one has the highest formation energy without anion corrections?
A: Ba2GaSe3

Q: What is the formation energy without anion corrections in the second record?
A: -1.659 eV per atom

Q: Among the records above, which one has the lowest formation energy without anion corrections?
A: Ba5GaSe6